Arrangement P

Here is an optimized crystal structure of Ca2ErZn from Alexandria. Energies are from GGA-PBE.

```
Ca2ErZn
1.0
3.595 0.000 0.000
1.798 3.114 0.000
1.798 1.038 11.492
Zn Ca Er
1 2 1
Direct
0.500 0.500 0.500 Zn
0.100 0.100 0.701 Ca
0.900 0.900 0.299 Ca
0.000 0.000 0.000 Er
```

Summary:
As for the density of states at the Fermi level: 1.375 states/eV/atom. For the total magnetization, the calculation gives 0.1522 μB/atom. The space group is No. 166.



Arrangement Q

Here is an optimized crystal structure of Ca2ErZn from Alexandria. Energies are from GGA-PBE.

```
Ca2ErZn
1.0
3.582 0.000 0.000
0.000 3.582 0.000
0.000 0.000 9.473
Zn Ca Er
1 2 1
Direct
0.500 0.500 0.000 Zn
0.000 0.000 0.799 Ca
0.000 0.000 0.201 Ca
0.500 0.500 0.500 Er
```

Summary:
As for the density of states at the Fermi level: 1.392 states/eV/atom. For the total magnetization, the calculation gives 0.0038 μB/atom. The space group is No. 123.



Which one sits at the top of the stability order? arrangement Q does.



Arrangement P

Here is an optimized crystal structure of CaErZr from Alexandria. Energies are from GGA-PBE.

```
CaErZr
1.0
3.425 0.000 0.000
0.000 3.425 0.000
-1.713 -1.713 7.725
Ca Zr Er
1 1 1
Direct
0.008 0.008 0.015 Ca
0.678 0.678 0.355 Zr
0.315 0.315 0.630 Er
```

Summary:
As for the density of states at the Fermi level: 1.064 states/eV/atom. For the total magnetization, the calculation gives 0.0000 μB/atom. The space group is No. 107.



Arrangement Q

Here is an optimized crystal structure of CaErZr from Alexandria. Energies are from GGA-PBE.

```
CaErZr
1.0
-3.319 -5.282 1.014
-1.978 -5.645 -2.044
6.475 -5.419 3.482
Ca Er Zr
2 2 2
Direct
0.789 0.789 0.853 Ca
0.964 0.964 0.454 Ca
0.725 0.725 0.244 Er
0.028 0.028 0.063 Er
0.211 0.211 0.554 Zr
0.542 0.542 0.753 Zr
```

Summary:
As for the density of states at the Fermi level: 1.183 states/eV/atom. For the total magnetization, the calculation gives 0.0000 μB/atom. The space group is No. 12.



Which one sits at the top of the stability order? arrangement P does.



Arrangement P

Here is an optimized crystal structure of Ca2Eu from Alexandria. Energies are from GGA-PBE.

```
Ca2Eu
1.0
-3.897 1.766 0.663
-1.754 -2.833 -2.765
1.742 -3.768 6.145
Eu Ca
1 2
Direct
0.000 0.000 0.000 Eu
0.669 0.669 0.338 Ca
0.331 0.331 0.662 Ca
```

Summary:
As for the density of states at the Fermi level: 1.083 states/eV/atom. For the total magnetization, the calculation gives 2.5881 μB/atom. The space group is No. 139.



Arrangement Q

Here is an optimized crystal structure of Ca2Eu from Alexandria. Energies are from GGA-PBE.

```
Ca2Eu
1.0
-4.045 4.739 -3.749
-3.266 -2.079 -6.155
-7.229 -0.753 -0.204
Eu Ca
2 4
Direct
0.000 0.000 0.000 Eu
0.250 0.250 0.250 Eu
0.125 0.625 0.625 Ca
0.625 0.125 0.625 Ca
0.625 0.625 0.625 Ca
0.625 0.625 0.125 Ca
```

Summary:
As for the density of states at the Fermi level: 3.795 states/eV/atom. For the total magnetization, the calculation gives 2.4465 μB/atom. The space group is No. 227.



Which one sits at the top of the stability order? arrangement P does.



Arrangement P

Here is an optimized crystal structure of Ca3Eu from Alexandria. Energies are from GGA-PBE.

```
Ca3Eu
1.0
6.199 0.000 0.000
3.099 5.368 0.000
3.099 1.789 5.061
Eu Ca
1 3
Direct
0.500 0.500 0.500 Eu
0.000 0.000 0.000 Ca
0.750 0.750 0.750 Ca
0.250 0.250 0.250 Ca
```

Summary:
As for the density of states at the Fermi level: 0.996 states/eV/atom. For the total magnetization, the calculation gives 2.0142 μB/atom. The space group is No. 225.



Arrangement Q

Here is an optimized crystal structure of Ca3Eu from Alexandria. Energies are from GGA-PBE.

```
Ca3Eu
1.0
7.818 0.000 0.000
-3.909 6.770 0.000
0.000 0.000 6.443
Ca Eu
6 2
Direct
0.167 0.333 0.250 Ca
0.667 0.833 0.250 Ca
0.167 0.833 0.250 Ca
0.833 0.667 0.750 Ca
0.333 0.167 0.750 Ca
0.833 0.167 0.750 Ca
0.333 0.667 0.750 Eu
0.667 0.333 0.250 Eu
```

Summary:
As for the density of states at the Fermi level: 3.124 states/eV/atom. For the total magnetization, the calculation gives 1.9118 μB/atom. The space group is No. 194.



Which one sits at the top of the stability order? arrangement Q does.



Arrangement P

Here is an optimized crystal structure of CaEu2Ga from Alexandria. Energies are from GGA-PBE.

```
CaEu2Ga
1.0
3.877 0.000 0.000
1.938 3.357 0.000
1.938 1.119 11.117
Eu Ca Ga
2 1 1
Direct
0.266 0.266 0.202 Eu
0.734 0.734 0.798 Eu
0.500 0.500 0.500 Ca
0.000 0.000 0.000 Ga
```

Summary:
As for the density of states at the Fermi level: 3.328 states/eV/atom. For the total magnetization, the calculation gives 3.7192 μB/atom. The space group is No. 166.



Arrangement Q

Here is an optimized crystal structure of CaEu2Ga from Alexandria. Energies are from GGA-PBE.

```
CaEu2Ga
1.0
-1.821 -2.387 -2.373
2.958 0.153 -2.423
3.936 -7.318 4.342
Eu Ca Ga
2 1 1
Direct
0.000 0.000 0.813 Eu
0.000 0.000 0.187 Eu
0.500 0.500 0.500 Ca
0.500 0.500 0.000 Ga
```

Summary:
As for the density of states at the Fermi level: 2.803 states/eV/atom. For the total magnetization, the calculation gives 3.6095 μB/atom. The space group is No. 123.



Which one sits at the top of the stability order? arrangement Q does.



Arrangement P

Here is an optimized crystal structure of CaEu2Ga from Alexandria. Energies are from GGA-PBE.

```
CaEu2Ga
1.0
4.948 0.000 0.000
0.000 5.045 0.000
0.000 0.000 5.045
Eu Ca Ga
2 1 1
Direct
0.000 0.000 0.500 Eu
0.000 0.500 0.000 Eu
0.500 0.000 0.000 Ca
0.500 0.500 0.500 Ga
```

Summary:
As for the density of states at the Fermi level: 2.702 states/eV/atom. For the total magnetization, the calculation gives 3.6818 μB/atom. The space group is No. 123.



Arrangement Q

Here is an optimized crystal structure of CaEu2Ga from Alexandria. Energies are from GGA-PBE.

```
CaEu2Ga
1.0
5.636 0.000 0.000
2.818 4.881 0.000
2.818 1.627 4.601
Eu Ca Ga
2 1 1
Direct
0.250 0.250 0.250 Eu
0.750 0.750 0.750 Eu
0.000 0.000 0.000 Ca
0.500 0.500 0.500 Ga
```

Summary:
As for the density of states at the Fermi level: 2.624 states/eV/atom. For the total magnetization, the calculation gives 3.6578 μB/atom. The space group is No. 225.



Which one sits at the top of the stability order? arrangement P does.



Arrangement P

Here is an optimized crystal structure of Ca2EuGa from Alexandria. Energies are from GGA-PBE.

```
Ca2EuGa
1.0
-2.804 2.528 -3.544
2.598 -2.158 -3.596
-3.232 -3.725 -0.100
Eu Ca Ga
1 2 1
Direct
0.500 0.500 0.500 Eu
0.000 0.000 0.500 Ca
0.000 0.500 0.000 Ca
0.500 0.000 0.000 Ga
```

Summary:
As for the density of states at the Fermi level: 3.075 states/eV/atom. For the total magnetization, the calculation gives 1.8267 μB/atom. The space group is No. 123.



Arrangement Q

Here is an optimized crystal structure of Ca2EuGa from Alexandria. Energies are from GGA-PBE.

```
Ca2EuGa
1.0
-5.300 -0.539 -1.690
-1.777 -4.856 -2.120
-3.551 -3.187 2.911
Eu Ca Ga
1 2 1
Direct
0.000 0.000 0.000 Eu
0.250 0.250 0.250 Ca
0.750 0.750 0.750 Ca
0.500 0.500 0.500 Ga
```

Summary:
As for the density of states at the Fermi level: 0.624 states/eV/atom. For the total magnetization, the calculation gives 1.9126 μB/atom. The space group is No. 225.



Arrangement R

Here is an optimized crystal structure of Ca2EuGa from Alexandria. Energies are from GGA-PBE.

```
Ca2EuGa
1.0
3.880 0.000 0.000
1.940 3.360 0.000
1.940 1.120 10.965
Eu Ca Ga
1 2 1
Direct
0.500 0.500 0.500 Eu
0.269 0.269 0.194 Ca
0.731 0.731 0.806 Ca
0.000 0.000 0.000 Ga
```

Summary:
As for the density of states at the Fermi level: 2.385 states/eV/atom. For the total magnetization, the calculation gives 1.8893 μB/atom. The space group is No. 166.



Arrangement S

Here is an optimized crystal structure of Ca2EuGa from Alexandria. Energies are from GGA-PBE.

```
Ca2EuGa
1.0
-2.184 -2.163 -2.076
2.767 -0.465 -2.426
3.050 -7.865 4.985
Eu Ca Ga
1 2 1
Direct
0.500 0.500 0.500 Eu
0.000 0.000 0.816 Ca
0.000 0.000 0.184 Ca
0.500 0.500 0.000 Ga
```

Summary:
As for the density of states at the Fermi level: 2.138 states/eV/atom. For the total magnetization, the calculation gives 2.0444 μB/atom. The space group is No. 123.



Which one sits at the top of the stability order? arrangement S does.



Arrangement P

Here is an optimized crystal structure of CaEuGd2 from Alexandria. Energies are from GGA-PBE.

```
CaEuGd2
1.0
-4.075 -1.050 -4.102
-4.827 -3.059 1.369
-5.211 2.702 0.275
Eu Ca Gd
1 1 2
Direct
0.000 0.000 0.000 Eu
0.500 0.500 0.500 Ca
0.250 0.250 0.250 Gd
0.750 0.750 0.750 Gd
```

Summary:
As for the density of states at the Fermi level: 1.601 states/eV/atom. For the total magnetization, the calculation gives 1.8495 μB/atom. The space group is No. 225.



Arrangement Q

Here is an optimized crystal structure of CaEuGd2 from Alexandria. Energies are from GGA-PBE.

```
CaEuGd2
1.0
-0.246 2.316 3.377
-5.931 -0.203 -0.294
0.001 -4.901 3.360
Eu Ca Gd
1 1 2
Direct
0.500 0.500 0.500 Eu
0.500 0.000 0.000 Ca
0.000 0.000 0.500 Gd
0.000 0.500 0.000 Gd
```

Summary:
As for the density of states at the Fermi level: 2.301 states/eV/atom. For the total magnetization, the calculation gives 5.5394 μB/atom. The space group is No. 123.



Arrangement R

Here is an optimized crystal structure of CaEuGd2 from Alexandria. Energies are from GGA-PBE.

```
CaEuGd2
1.0
-1.133 3.142 -1.324
-3.337 1.142 0.688
2.764 7.445 10.428
Eu Ca Gd
1 1 2
Direct
0.500 0.500 0.500 Eu
0.000 0.000 0.000 Ca
0.088 0.088 0.737 Gd
0.912 0.912 0.263 Gd
```

Summary:
As for the density of states at the Fermi level: 1.855 states/eV/atom. For the total magnetization, the calculation gives 1.9946 μB/atom. The space group is No. 166.



Which one sits at the top of the stability order? arrangement P does.



Arrangement P

Here is an optimized crystal structure of Ca2EuGd from Alexandria. Energies are from GGA-PBE.

```
Ca2EuGd
1.0
-0.575 -2.550 3.250
5.211 2.035 2.518
-3.126 4.407 2.905
Eu Ca Gd
1 2 1
Direct
0.500 0.500 0.500 Eu
0.000 0.000 0.500 Ca
0.000 0.500 0.000 Ca
0.500 0.000 0.000 Gd
```

Summary:
As for the density of states at the Fermi level: 2.032 states/eV/atom. For the total magnetization, the calculation gives 3.7941 μB/atom. The space group is No. 123.



Arrangement Q

Here is an optimized crystal structure of Ca2EuGd from Alexandria. Energies are from GGA-PBE.

```
Ca2EuGd
1.0
3.831 0.000 0.000
0.000 3.831 0.000
0.000 0.000 10.742
Eu Ca Gd
1 2 1
Direct
0.500 0.500 0.500 Eu
0.000 0.000 0.236 Ca
0.000 0.000 0.764 Ca
0.500 0.500 0.000 Gd
```

Summary:
As for the density of states at the Fermi level: 1.603 states/eV/atom. For the total magnetization, the calculation gives 0.1364 μB/atom. The space group is No. 123.



Which one sits at the top of the stability order? arrangement Q does.



Arrangement P

Here is an optimized crystal structure of Ca2EuHg from Alexandria. Energies are from GGA-PBE.

```
Ca2EuHg
1.0
-5.121 1.400 -1.948
-4.619 -1.328 2.980
-2.983 4.068 2.556
Eu Ca Hg
1 2 1
Direct
0.000 0.000 0.000 Eu
0.250 0.250 0.250 Ca
0.750 0.750 0.750 Ca
0.500 0.500 0.500 Hg
```

Summary:
As for the density of states at the Fermi level: 0.735 states/eV/atom. For the total magnetization, the calculation gives 1.7965 μB/atom. The space group is No. 225.



Arrangement Q

Here is an optimized crystal structure of Ca2EuHg from Alexandria. Energies are from GGA-PBE.

```
Ca2EuHg
1.0
-0.678 2.571 -2.751
0.321 -2.746 -2.645
-9.407 -1.754 0.680
Eu Ca Hg
1 2 1
Direct
0.500 0.500 0.500 Eu
0.000 0.000 0.810 Ca
0.000 0.000 0.190 Ca
0.500 0.500 0.000 Hg
```

Summary:
As for the density of states at the Fermi level: 2.099 states/eV/atom. For the total magnetization, the calculation gives 2.0684 μB/atom. The space group is No. 123.



Arrangement R

Here is an optimized crystal structure of Ca2EuHg from Alexandria. Energies are from GGA-PBE.

```
Ca2EuHg
1.0
-3.773 0.991 0.724
-2.280 -2.362 2.228
1.127 4.966 9.949
Eu Ca Hg
1 2 1
Direct
0.500 0.500 0.500 Eu
0.266 0.266 0.201 Ca
0.734 0.734 0.799 Ca
0.000 0.000 0.000 Hg
```

Summary:
As for the density of states at the Fermi level: 2.285 states/eV/atom. For the total magnetization, the calculation gives 1.9280 μB/atom. The space group is No. 166.



Which one sits at the top of the stability order? arrangement Q does.



Arrangement P

Here is an optimized crystal structure of CaEuHo from Alexandria. Energies are from GGA-PBE.

```
CaEuHo
1.0
-1.979 -2.561 -1.846
2.826 -1.052 2.189
-5.822 -0.681 7.187
Eu Ca Ho
1 1 1
Direct
0.333 0.667 0.655 Eu
0.000 0.000 0.009 Ca
0.667 0.333 0.336 Ho
```

Summary:
As for the density of states at the Fermi level: 1.417 states/eV/atom. For the total magnetization, the calculation gives 2.5925 μB/atom. The space group is No. 156.



Arrangement Q

Here is an optimized crystal structure of CaEuHo from Alexandria. Energies are from GGA-PBE.

```
CaEuHo
1.0
3.731 0.000 0.000
0.000 3.731 0.000
-1.865 -1.865 8.109
Eu Ca Ho
1 1 1
Direct
0.324 0.324 0.649 Eu
0.006 0.006 0.013 Ca
0.669 0.669 0.338 Ho
```

Summary:
As for the density of states at the Fermi level: 1.287 states/eV/atom. For the total magnetization, the calculation gives 2.7329 μB/atom. The space group is No. 107.



Which one sits at the top of the stability order? arrangement P does.



Arrangement P

Here is an optimized crystal structure of CaEu2In from Alexandria. Energies are from GGA-PBE.

```
CaEu2In
1.0
3.771 0.000 0.000
1.886 3.266 0.000
1.886 1.089 12.400
Eu Ca In
2 1 1
Direct
0.097 0.097 0.709 Eu
0.903 0.903 0.291 Eu
0.000 0.000 0.000 Ca
0.500 0.500 0.500 In
```

Summary:
As for the density of states at the Fermi level: 2.539 states/eV/atom. For the total magnetization, the calculation gives 3.7610 μB/atom. The space group is No. 166.



Arrangement Q

Here is an optimized crystal structure of CaEu2In from Alexandria. Energies are from GGA-PBE.

```
CaEu2In
1.0
4.012 0.000 0.000
0.000 4.012 0.000
0.000 0.000 9.143
Eu Ca In
2 1 1
Direct
0.000 0.000 0.798 Eu
0.000 0.000 0.202 Eu
0.500 0.500 0.500 Ca
0.500 0.500 0.000 In
```

Summary:
As for the density of states at the Fermi level: 3.500 states/eV/atom. For the total magnetization, the calculation gives 3.6227 μB/atom. The space group is No. 123.



Arrangement R

Here is an optimized crystal structure of CaEu2In from Alexandria. Energies are from GGA-PBE.

```
CaEu2In
1.0
5.781 0.000 0.000
2.890 5.006 0.000
2.890 1.669 4.720
Eu Ca In
2 1 1
Direct
0.250 0.250 0.250 Eu
0.750 0.750 0.750 Eu
0.000 0.000 0.000 Ca
0.500 0.500 0.500 In
```

Summary:
As for the density of states at the Fermi level: 3.615 states/eV/atom. For the total magnetization, the calculation gives 3.6540 μB/atom. The space group is No. 225.



Arrangement S

Here is an optimized crystal structure of CaEu2In from Alexandria. Energies are from GGA-PBE.

```
CaEu2In
1.0
-0.424 2.386 4.579
-3.435 -3.485 1.498
3.770 -2.914 1.867
Eu Ca In
2 1 1
Direct
0.000 0.000 0.500 Eu
0.000 0.500 0.000 Eu
0.500 0.000 0.000 Ca
0.500 0.500 0.500 In
```

Summary:
As for the density of states at the Fermi level: 3.557 states/eV/atom. For the total magnetization, the calculation gives 3.7010 μB/atom. The space group is No. 123.



Which one sits at the top of the stability order? arrangement Q does.